A plane-wave DFT calculation with GGA-PBE was carried out for a geometry-optimized ScHW2 structure.

Cell: 4.3842 4.3842 4.3842 Å, 60.00 60.00 60.00°
Fractional coordinates of all 4 atoms:
Sc 0.0000 0.0000 0.0000
H 0.5000 0.5000 0.5000
W 0.2500 0.2500 0.2500
W 0.7500 0.7500 0.7500

Calculated values
ΔE to the lowest computed polymorph: 1272 meV/atom

***

A plane-wave DFT calculation with GGA-PBE was carried out for a geometry-optimized NaZnIn3 structure.

Cell: 5.5668 5.5668 5.5668 Å, 90.00 90.00 90.00°
Fractional coordinates of all 5 atoms:
Na 0.0000 0.0000 0.0000
Zn 0.5000 0.5000 0.5000
In 0.0000 0.0000 0.5000
In 0.0000 0.5000 0.0000
In 0.5000 0.0000 0.0000

Calculated values
ΔE to the lowest computed polymorph: 653 meV/atom
ΔE_f: 0.61 eV/atom

***

A plane-wave DFT calculation with GGA-PBE was carried out for a geometry-optimized La2TbPmY2 structure.

Cell: 6.6555 18.4602 3.4328 Å, 90.00 90.00 90.00°
Fractional coordinates of all 12 atoms:
La 0.2216 0.1868 0.0000
La 0.2784 0.6868 0.5000
La 0.7216 0.3132 0.5000
La 0.7784 0.8132 0.0000
Tb 0.0000 0.0000 0.0000
Tb 0.5000 0.5000 0.5000
Pm 0.0000 0.5000 0.0000
Pm 0.5000 0.0000 0.5000
Y 0.2197 0.3554 0.5000
Y 0.2803 0.8554 0.0000
Y 0.7197 0.1446 0.0000
Y 0.7803 0.6446 0.5000

Calculated values
ΔE_f: 0.26 eV/atom

***

A plane-wave DFT calculation with GGA-PBE was carried out for a geometry-optimized SmBeGaPt3 structure.

Cell: 6.8235 6.8235 5.6456 Å, 90.00 90.00 125.49°
Fractional coordinates of all 12 atoms:
Sm 0.2234 0.7766 0.7500
Sm 0.7766 0.2234 0.2500
Be 0.4778 0.5222 0.7500
Be 0.5222 0.4778 0.2500
Ga 0.1324 0.8676 0.2500
Ga 0.8676 0.1324 0.7500
Pt 0.2265 0.2265 0.0000
Pt 0.2265 0.2265 0.5000
Pt 0.3315 0.6685 0.2500
Pt 0.6685 0.3315 0.7500
Pt 0.7735 0.7735 0.0000
Pt 0.7735 0.7735 0.5000

Calculated values
ΔE_f: -0.77 eV/atom

***

A plane-wave DFT calculation with GGA-PBE was carried out for a geometry-optimized MoIr2Br structure.

Cell: 2.7853 3.7266 7.1582 Å, 90.00 90.00 90.00°
Fractional coordinates of all 4 atoms:
Mo 0.0000 0.0000 0.0000
Ir 0.0000 0.0000 0.3683
Ir 0.5000 0.5000 0.1849
Br 0.0000 0.5000 0.7158

Calculated values
ΔE to the lowest computed polymorph: 109 meV/atom
formation energy from raw total energies: 1.87 eV per formula unit

***

A plane-wave DFT calculation with GGA-PBE was carried out for a geometry-optimized LaPaNbN4 structure.

Cell: 6.8575 6.8575 5.7613 Å, 90.00 90.00 130.66°
Fractional coordinates of all 14 atoms:
La 0.1054 0.8946 0.7500
La 0.8946 0.1054 0.2500
Pa 0.3896 0.6104 0.7500
Pa 0.6104 0.3896 0.2500
Nb 0.2391 0.7609 0.2500
Nb 0.7609 0.2391 0.7500
N 0.0000 0.5000 0.0000
N 0.0000 0.5000 0.5000
N 0.0794 0.9206 0.2500
N 0.4435 0.5565 0.2500
N 0.5000 0.0000 0.0000
N 0.5000 0.0000 0.5000
N 0.5565 0.4435 0.7500
N 0.9206 0.0794 0.7500

Calculated values
formation energy from raw total energies: -8.45 eV per formula unit

***

A plane-wave DFT calculation with GGA-PBE was carried out for a geometry-optimized AlGeN3 structure.

Cell: 3.8057 3.8057 3.8057 Å, 90.00 90.00 90.00°
Fractional coordinates of all 5 atoms:
Al 0.0000 0.0000 0.0000
Ge 0.5000 0.5000 0.5000
N 0.0000 0.0000 0.5000
N 0.0000 0.5000 0.0000
N 0.5000 0.0000 0.0000

Calculated values
formation energy from raw total energies: 5.41 eV per formula unit

***

A plane-wave DFT calculation with GGA-PBE was carried out for a geometry-optimized HfPa2As structure.

Cell: 3.8567 3.8567 6.2854 Å, 90.00 90.00 90.00°
Fractional coordinates of all 4 atoms:
Hf 0.0000 0.0000 0.0000
Pa 0.5000 0.5000 0.2868
Pa 0.5000 0.5000 0.7132
As 0.0000 0.0000 0.5000

Calculated values
ΔE to the lowest computed polymorph: 54 meV/atom
ΔE_f: -0.26 eV/atom

***

A plane-wave DFT calculation with GGA-PBE was carried out for a geometry-optimized BAuSN2 structure.

Cell: 3.7250 3.7250 8.2740 Å, 90.00 90.00 90.00°
Fractional coordinates of all 5 atoms:
B 0.0000 0.0000 0.0000
Au 0.5000 0.5000 0.5000
S 0.5000 0.5000 0.0000
N 0.0000 0.5000 0.5000
N 0.5000 0.0000 0.5000

Calculated values
ΔE to the lowest computed polymorph: 1325 meV/atom
formation energy from raw total energies: 12.59 eV per formula unit

***

A plane-wave DFT calculation with GGA-PBE was carried out for a geometry-optimized Zr2ScNi6 structure.

Cell: 5.2271 5.2271 5.5155 Å, 90.00 90.00 120.00°
Fractional coordinates of all 9 atoms:
Zr 0.3333 0.6667 0.3212
Zr 0.6667 0.3333 0.6788
Sc 0.0000 0.0000 0.5000
Ni 0.1792 0.3583 0.8343
Ni 0.1792 0.8208 0.8343
Ni 0.3583 0.1792 0.1657
Ni 0.6417 0.8208 0.8343
Ni 0.8208 0.1792 0.1657
Ni 0.8208 0.6417 0.1657

Calculated values
ΔE_f: -0.32 eV/atom

***

A plane-wave DFT calculation with GGA-PBE was carried out for a geometry-optimized Ce4GeSb2Se structure.

Cell: 7.5197 4.3601 7.5910 Å, 90.00 109.43 90.00°
Fractional coordinates of all 8 atoms:
Ce 0.2422 0.0000 0.2334
Ce 0.2527 0.5000 0.7657
Ce 0.7473 0.5000 0.2343
Ce 0.7578 0.0000 0.7666
Ge 0.0000 0.5000 0.0000
Sb 0.0000 0.0000 0.5000
Sb 0.5000 0.5000 0.5000
Se 0.5000 0.0000 0.0000

Calculated values
formation energy from raw total energies: -9.25 eV per formula unit

***

A plane-wave DFT calculation with GGA-PBE was carried out for a geometry-optimized Cu5Te3 structure.

Cell: 8.5768 8.5768 4.7013 Å, 90.00 90.00 120.00°
Fractional coordinates of all 16 atoms:
Cu 0.0000 0.1725 0.2500
Cu 0.0000 0.8275 0.7500
Cu 0.1725 0.0000 0.2500
Cu 0.1725 0.1725 0.7500
Cu 0.3333 0.6667 0.0000
Cu 0.3333 0.6667 0.5000
Cu 0.6667 0.3333 0.0000
Cu 0.6667 0.3333 0.5000
Cu 0.8275 0.0000 0.7500
Cu 0.8275 0.8275 0.2500
Te 0.0000 0.3617 0.7500
Te 0.0000 0.6383 0.2500
Te 0.3617 0.0000 0.7500
Te 0.3617 0.3617 0.2500
Te 0.6383 0.0000 0.2500
Te 0.6383 0.6383 0.7500

Calculated values
ΔE to the lowest computed polymorph: 97 meV/atom
formation energy from raw total energies: 1.35 eV per formula unit

***

no.,theoretical density (g cm⁻³)
1,11.527
2,4.166
3,5.981
4,12.637
5,12.522
6,8.384
7,4.267
8,12.708
9,3.874
10,7.374
11,6.760
12,7.768